# 1
# Ho2Ni2C3N

A relaxed structure of Ho2Ni2C3N (PBE, the Open Quantum Materials Database).

Computed properties:
- Total DFT energy (no corrections): -60.0 eV per formula unit
- Crystal system: tetragonal
- Calculated density: 9.25 g cm⁻³

abc: 3.483 3.483 7.357
angles: 90.00 90.00 90.00
Element x y z (fractional)
C 0.000 0.000 0.841
Ni 0.000 0.500 0.995
N 0.000 0.000 0.652
Ho 0.000 0.000 0.334
C 0.500 0.500 0.350
C 0.500 0.500 0.161
Ni 0.500 0.000 0.995
Ho 0.500 0.500 0.671

***

# 2
# BaSn2PdAu

A relaxed structure of BaSn2PdAu (PBE, the Open Quantum Materials Database).

Computed properties:
- Total DFT energy (no corrections): -21.7 eV per formula unit
- Crystal system: tetragonal
- Calculated density: 8.76 g cm⁻³

abc: 4.831 4.831 11.019
angles: 90.00 90.00 90.00
Element x y z (fractional)
Ba 0.500 0.000 0.753
Pd 0.000 0.500 0.621
Pd 0.500 0.000 0.379
Sn 0.500 0.000 0.134
Au 0.000 0.000 0.000
Sn 0.500 0.500 0.500
Ba 0.000 0.500 0.247
Sn 0.000 0.000 0.500
Sn 0.000 0.500 0.866
Au 0.500 0.500 0.000